Entry from the Alexandria database: crystalline Er4V6O19 at its relaxed geometry (PBE with a Hubbard U).

abc: 7.658 7.658 8.838
angles: 124.90 124.90 71.13
Element x y z (fractional)
Er 0.144 0.144 0.497
Er 0.153 0.546 0.204
Er 0.454 0.847 0.796
Er 0.856 0.856 0.503
V 0.001 0.672 0.823
V 0.328 0.999 0.177
V 0.501 0.499 0.000
V 0.643 0.339 0.330
V 0.661 0.357 0.670
V 0.824 0.176 0.000
O 0.107 0.225 0.129
O 0.154 0.846 0.500
O 0.158 0.840 0.145
O 0.160 0.842 0.855
O 0.186 0.447 0.784
O 0.399 0.169 0.457
O 0.439 0.495 0.176
O 0.467 0.102 0.110
O 0.497 0.503 0.500
O 0.505 0.561 0.824
O 0.508 0.189 0.852
O 0.553 0.814 0.216
O 0.775 0.893 0.871
O 0.791 0.137 0.751
O 0.808 0.192 0.500
O 0.811 0.492 0.148
O 0.831 0.601 0.543
O 0.863 0.209 0.249
O 0.898 0.533 0.890

Volume: 348.66 Å³ per cell
Energy: -7.862 eV per atom